Entry 1:
DFT (PBE) results for a relaxed structure of Pr8Nd2Sm.

The calculation puts the volume at 36.264 Å³/atom. The energy comes out at -102.09 eV/cell. The formation energy is 1.45 eV per formula unit.

It has space group C2/m (No. 12), with a = 9.305 Å, b = 16.860 Å, c = 6.110 Å, α = 90.00°, β = 123.66° and γ = 90.00°. The distinct sites, in fractional coordinates, are Pr at (0.000, 0.205, 0.000), Pr at (0.079, 0.500, 0.797), Pr at (0.216, 0.117, 0.679), Nd at (0.000, 0.308, 0.500) and Sm at (0.000, 0.000, 0.000).


Entry 2:
DFT (PBE) results for a relaxed structure of Pr3Nd8Sm4.

The calculation puts the volume at 35.641 Å³/atom. The energy comes out at -133.55 eV/cell. The formation energy is 4.58 eV per formula unit.

It has space group C2/m (No. 12), with a = 14.212 Å, b = 12.377 Å, c = 6.975 Å, α = 90.00°, β = 119.36° and γ = 90.00°. The distinct sites, in fractional coordinates, are Pr at (0.000, 0.000, 0.000), Pr at (0.250, 0.250, 0.500), Nd at (0.000, 0.203, 0.500), Nd at (0.000, 0.253, 0.000), Nd at (0.204, 0.000, 0.705), Nd at (0.247, 0.500, 0.749), Sm at (0.000, 0.500, 0.000), Sm at (0.000, 0.500, 0.500) and Sm at (0.250, 0.250, 0.000).


Entry 3:
DFT (PBE) results for a relaxed structure of Pr4NdSm5.

The calculation puts the volume at 36.216 Å³/atom. The energy comes out at -45.74 eV/cell. The formation energy is 1.74 eV per formula unit.

It has space group P-1 (No. 2), with a = 3.610 Å, b = 8.976 Å, c = 11.396 Å, α = 89.91°, β = 89.92° and γ = 78.77°. The distinct sites, in fractional coordinates, are Pr at (0.024, 0.439, 0.249), Pr at (0.345, 0.809, 0.250), Nd at (0.500, 0.500, 0.500), Sm at (0.174, 0.152, 0.053), Sm at (0.176, 0.151, 0.445) and Sm at (0.500, 0.500, 0.000).


Entry 4:
DFT (PBE) results for a relaxed structure of Pr4Nd8Sm.

The calculation puts the volume at 37.397 Å³/atom. The energy comes out at -170.97 eV/cell. The formation energy is 4.99 eV per formula unit.

It has space group R-3m (No. 166, hexagonal axes), with a = 11.9437 Å, b = 11.9437 Å, c = 11.8058 Å, α = 90.00°, β = 90.00° and γ = 120.00°. The distinct sites, in fractional coordinates, are Pr at (0.0000, 0.0000, 0.0000), Pr at (0.0000, 0.5000, 0.0000), Nd at (0.0000, 0.0000, 0.2426), Nd at (0.0027, 0.5014, 0.6666) and Sm at (0.0000, 0.0000, 0.5000).


Entry 5:
DFT (PBE) results for a relaxed structure of PrNd7Sm2.

The calculation puts the volume at 37.004 Å³/atom. The energy comes out at -87.87 eV/cell. The formation energy is 3.66 eV per formula unit.

It has space group Cmmm (No. 65), with a = 12.178 Å, b = 17.147 Å, c = 3.544 Å, α = 90.00°, β = 90.00° and γ = 90.00°. The distinct sites, in fractional coordinates, are Pr at (0.000, 0.000, 0.000), Nd at (0.000, 0.324, 0.000), Nd at (0.000, 0.500, 0.500), Nd at (0.243, 0.370, 0.500) and Sm at (0.000, 0.171, 0.500).


Entry 6:
DFT (PBE) results for a relaxed structure of Pr6Nd5Sm.

The calculation puts the volume at 35.684 Å³/atom. The energy comes out at -114.19 eV/cell. The formation energy is 0.14 eV per formula unit.

It has space group C2/m (No. 12), with a = 6.407 Å, b = 11.098 Å, c = 12.235 Å, α = 90.00°, β = 100.14° and γ = 90.00°. The distinct sites, in fractional coordinates, are Pr at (0.249, 0.000, 0.249), Pr at (0.249, 0.334, 0.250), Nd at (0.000, 0.000, 0.500), Nd at (0.000, 0.167, 0.000), Nd at (0.000, 0.333, 0.500) and Sm at (0.000, 0.500, 0.000).


Entry 7:
DFT (PBE) results for a relaxed structure of Pr3Nd3Sm2.

The calculation puts the volume at 35.214 Å³/atom. The energy comes out at -75.96 eV/cell. The formation energy is 0.10 eV per formula unit.

It has space group C2/m (No. 12), with a = 21.426 Å, b = 5.206 Å, c = 5.206 Å, α = 90.00°, β = 104.01° and γ = 90.00°. The distinct sites, in fractional coordinates, are Pr at (0.000, 0.000, 0.000), Pr at (0.126, 0.000, 0.626), Nd at (0.000, 0.500, 0.500), Nd at (0.126, 0.500, 0.126) and Sm at (0.250, 0.000, 0.250).


Entry 8:
DFT (PBE) results for a relaxed structure of PrNd12Sm5.

The calculation puts the volume at 34.908 Å³/atom. The energy comes out at -170.72 eV/cell. The formation energy is 0.23 eV per formula unit.

It has space group Cmmm (No. 65), with a = 15.556 Å, b = 15.569 Å, c = 5.189 Å, α = 90.00°, β = 90.00° and γ = 90.00°. The distinct sites, in fractional coordinates, are Pr at (0.000, 0.000, 0.000), Nd at (0.000, 0.167, 0.500), Nd at (0.000, 0.334, 0.000), Nd at (0.167, 0.166, 0.000), Nd at (0.167, 0.334, 0.500), Sm at (0.000, 0.500, 0.500), Sm at (0.167, 0.000, 0.500) and Sm at (0.167, 0.500, 0.000).